# 1
The following is a DFT calculation (GGA-PBE) of an optimized crystal structure of BaP2H4O8.

Values from the calculation:
relative energy among the computed polymorphs: 0.000 eV/atom
crystal system: orthorhombic
SG: Pccn (56)

a b c (Å): 7.740 8.682 10.826
angles (deg): 90.00 90.00 90.00
Fractional coordinates of all 60 atoms:
Ba (0.250, 0.898, 0.750)
Ba (0.750, 0.602, 0.250)
Ba (0.750, 0.102, 0.250)
Ba (0.250, 0.398, 0.750)
P (0.926, 0.708, 0.580)
P (0.574, 0.708, 0.920)
P (0.426, 0.792, 0.420)
P (0.074, 0.792, 0.080)
P (0.074, 0.292, 0.420)
P (0.426, 0.292, 0.080)
P (0.574, 0.208, 0.580)
P (0.926, 0.208, 0.920)
H (0.085, 0.793, 0.425)
H (0.415, 0.793, 0.075)
H (0.585, 0.707, 0.575)
H (0.915, 0.707, 0.925)
H (0.915, 0.207, 0.575)
H (0.585, 0.207, 0.925)
H (0.415, 0.293, 0.425)
H (0.085, 0.293, 0.075)
H (0.825, 0.955, 0.615)
H (0.675, 0.955, 0.885)
H (0.325, 0.545, 0.385)
H (0.175, 0.545, 0.115)
H (0.175, 0.045, 0.385)
H (0.325, 0.045, 0.115)
H (0.675, 0.455, 0.615)
H (0.825, 0.455, 0.885)
O (0.756, 0.620, 0.579)
O (0.744, 0.620, 0.921)
O (0.256, 0.880, 0.421)
O (0.244, 0.880, 0.079)
O (0.244, 0.380, 0.421)
O (0.256, 0.380, 0.079)
O (0.744, 0.120, 0.579)
O (0.756, 0.120, 0.921)
O (0.967, 0.739, 0.437)
O (0.533, 0.739, 0.063)
O (0.467, 0.761, 0.563)
O (0.033, 0.761, 0.937)
O (0.033, 0.261, 0.563)
O (0.467, 0.261, 0.937)
O (0.533, 0.239, 0.437)
O (0.967, 0.239, 0.063)
O (0.080, 0.637, 0.646)
O (0.420, 0.637, 0.854)
O (0.580, 0.863, 0.354)
O (0.920, 0.863, 0.146)
O (0.920, 0.363, 0.354)
O (0.580, 0.363, 0.146)
O (0.420, 0.137, 0.646)
O (0.080, 0.137, 0.854)
O (0.909, 0.873, 0.644)
O (0.591, 0.873, 0.856)
O (0.409, 0.627, 0.356)
O (0.091, 0.627, 0.144)
O (0.091, 0.127, 0.356)
O (0.409, 0.127, 0.144)
O (0.591, 0.373, 0.644)
O (0.909, 0.373, 0.856)

# 2
The following is a DFT calculation (GGA-PBE) of an optimized crystal structure of BaP2H2O2.

Values from the calculation:
crystal system: orthorhombic
raw total energy: -5.338 eV/atom
SG: Ccce (68)

a b c (Å): 10.664 10.664 7.388
angles (deg): 90.00 90.00 140.76
Fractional coordinates of all 28 atoms:
Ba (0.750, 0.250, 0.750)
Ba (0.250, 0.750, 0.750)
Ba (0.750, 0.250, 0.250)
Ba (0.250, 0.750, 0.250)
P (0.046, 0.260, 0.541)
P (0.954, 0.740, 0.541)
P (0.740, 0.954, 0.459)
P (0.454, 0.240, 0.959)
P (0.260, 0.046, 0.459)
P (0.546, 0.760, 0.959)
P (0.760, 0.546, 0.041)
P (0.240, 0.454, 0.041)
H (0.988, 0.210, 0.730)
H (0.012, 0.790, 0.730)
H (0.790, 0.012, 0.270)
H (0.512, 0.290, 0.770)
H (0.210, 0.988, 0.270)
H (0.488, 0.710, 0.770)
H (0.710, 0.488, 0.230)
H (0.290, 0.512, 0.230)
O (0.043, 0.411, 0.508)
O (0.957, 0.589, 0.508)
O (0.589, 0.957, 0.492)
O (0.457, 0.089, 0.992)
O (0.411, 0.043, 0.492)
O (0.543, 0.911, 0.992)
O (0.911, 0.543, 0.008)
O (0.089, 0.457, 0.008)